Compound: LaCeC4
Source: Alexandria
Functional: GGA-PBEsol
Structure: optimized geometry

a b c (Å): 5.381 6.409 5.382
angles (deg): 90.00 90.00 90.00
Space group Cmmm (No. 65)
One atom of each set of equivalent atoms:
La (0.000, 0.000, 0.000)
Ce (0.000, 0.500, 0.500)
C (0.000, 0.103, 0.500)
C (0.000, 0.399, 0.000)

Output
- DFT formation energy: -0.56 eV/f.u.
- N(E_F): 10.2 states/eV/cell

---

Compound: Si2Ni2Pd
Source: Alexandria
Functional: GGA-PBEsol
Structure: optimized geometry

a b c (Å): 6.523 6.523 2.778
angles (deg): 90.00 90.00 90.00
Space group P4/mbm (No. 127)
One atom of each set of equivalent atoms:
Si (0.151, 0.349, 0.000)
Ni (0.140, 0.640, 0.500)
Pd (0.000, 0.000, 0.000)

Output
- N(E_F): 1.6 states/eV/cell
- Raw formation energy: -610.7 meV per atom

---

Compound: AgSF2
Source: Alexandria
Functional: GGA-PBEsol
Structure: optimized geometry

a b c (Å): 5.863 5.863 5.863
angles (deg): 90.00 90.00 90.00
Space group Fm-3m (No. 225)
One atom of each set of equivalent atoms:
Ag (0.000, 0.000, 0.000)
S (0.000, 0.000, 0.500)
F (0.250, 0.250, 0.250)

Output
- N(E_F): 15.1 states/eV/cell
- Raw formation energy: -168.5 meV per atom

---

Compound: SrRhPb2
Source: Alexandria
Functional: GGA-PBEsol
Structure: optimized geometry

a b c (Å): 3.529 3.529 7.684
angles (deg): 90.00 90.00 90.00
Space group P4/mmm (No. 123)
One atom of each set of equivalent atoms:
Sr (0.000, 0.000, 0.000)
Rh (0.000, 0.000, 0.500)
Pb (0.500, 0.500, 0.303)

Output
- DFT formation energy: -0.86 eV/f.u.
- N(E_F): 2.0 states/eV/cell

---

Compound: BaNi2Pt
Source: Alexandria
Functional: GGA-PBEsol
Structure: optimized geometry

a b c (Å): 4.2301 4.2301 15.7997
angles (deg): 90.00 90.00 120.00
Space group R-3m (No. 166, hexagonal axes)
One atom of each set of equivalent atoms:
Ba (0.0000, 0.0000, 0.0000)
Ni (0.0000, 0.0000, 0.1820)
Pt (0.0000, 0.0000, 0.5000)

Output
- DFT formation energy: -1.05 eV/f.u.
- N(E_F): 6.4 states/eV/cell

---

Compound: KMnMo2
Source: Alexandria
Functional: GGA-PBEsol
Structure: optimized geometry

a b c (Å): 2.556 5.212 10.848
angles (deg): 90.00 90.00 90.00
Space group Immm (No. 71)
One atom of each set of equivalent atoms:
K (0.000, 0.000, 0.000)
Mn (0.000, 0.000, 0.500)
Mo (0.000, 0.500, 0.208)

Output
- DFT formation energy: 4.72 eV/f.u.
- N(E_F): 8.0 states/eV/cell

---

Compound: K2AgSb
Source: Alexandria
Functional: GGA-PBEsol
Structure: optimized geometry

a b c (Å): 10.396 8.199 6.172
angles (deg): 90.00 90.00 90.00
Space group Cmcm (No. 63)
One atom of each set of equivalent atoms:
K (0.172, 0.149, 0.250)
Ag (0.000, 0.500, 0.000)
Sb (0.000, 0.234, 0.750)

Output
- Raw formation energy: -379.9 meV per atom

---

Compound: CsNa3Sn
Source: Alexandria
Functional: GGA-PBEsol
Structure: optimized geometry

a b c (Å): 6.018 6.018 6.018
angles (deg): 90.00 90.00 90.00
Space group Pm-3m (No. 221)
One atom of each set of equivalent atoms:
Cs (0.000, 0.000, 0.000)
Na (0.000, 0.500, 0.500)
Sn (0.500, 0.500, 0.500)

Output
- DFT formation energy: -0.52 eV/f.u.
- N(E_F): 1.2 states/eV/cell

---

Compound: NaCo3Si
Source: Alexandria
Functional: GGA-PBEsol
Structure: optimized geometry

a b c (Å): 4.224 4.224 4.224
angles (deg): 90.00 90.00 90.00
Space group Pm-3m (No. 221)
One atom of each set of equivalent atoms:
Na (0.000, 0.000, 0.000)
Co (0.000, 0.500, 0.500)
Si (0.500, 0.500, 0.500)

Output
- N(E_F): 9.1 states/eV/cell
- Raw formation energy: 664.9 meV per atom

---

Compound: RbTh2F9
Source: Alexandria
Functional: GGA-PBEsol
Structure: optimized geometry

a b c (Å): 8.835 11.831 7.140
angles (deg): 90.00 90.00 90.00
Space group Pnma (No. 62)
One atom of each set of equivalent atoms:
Rb (0.033, 0.250, 0.139)
Th (0.175, 0.051, 0.651)
F (0.007, 0.597, 0.574)
F (0.064, 0.579, 0.195)
F (0.176, 0.250, 0.660)
F (0.212, 0.094, 0.969)
F (0.220, 0.605, 0.853)

Output
- N(E_F): 0.0 states/eV/cell
- Raw formation energy: -3988.5 meV per atom

---

Compound: TePbAu
Source: Alexandria
Functional: GGA-PBEsol
Structure: optimized geometry

a b c (Å): 4.2856 4.2856 5.0219
angles (deg): 90.00 90.00 120.00
Space group P3m1 (No. 156)
One atom of each set of equivalent atoms:
Te (0.0000, 0.0000, 0.0000)
Pb (0.6667, 0.3333, 0.4451)
Au (0.3333, 0.6667, 0.7473)

Output
- N(E_F): 1.3 states/eV/cell
- Raw formation energy: -147.4 meV per atom

---

Compound: NaCoN3
Source: Alexandria
Functional: GGA-PBEsol
Structure: optimized geometry

a b c (Å): 3.926 3.926 3.926
angles (deg): 90.00 90.00 90.00
Space group Pm-3m (No. 221)
One atom of each set of equivalent atoms:
Na (0.000, 0.000, 0.000)
Co (0.500, 0.500, 0.500)
N (0.000, 0.000, 0.500)

Output
- N(E_F): 7.3 states/eV/cell
- Raw formation energy: 3180.4 meV per atom

---

Compound: K2ZrAlPt
Source: Alexandria
Functional: GGA-PBEsol
Structure: optimized geometry

a b c (Å): 6.030 6.030 4.580
angles (deg): 90.00 90.00 90.00
Space group P4/mmm (No. 123)
One atom of each set of equivalent atoms:
K (0.000, 0.500, 0.000)
Zr (0.000, 0.000, 0.500)
Al (0.500, 0.500, 0.000)
Pt (0.500, 0.500, 0.500)

Output
- DFT formation energy: 5.18 eV/f.u.
- N(E_F): 8.6 states/eV/cell

---

Number 1: VASP energy -8.51 eV/atom, magnetization 0.75 μB per cell. Number 2: VASP energy -6.56 eV/atom, magnetization 0.00 μB per cell. Number 3: VASP energy -3.06 eV/atom, magnetization 3.20 μB per cell. Number 4: VASP energy -4.71 eV/atom, magnetization 0.00 μB per cell. Number 5: VASP energy -5.62 eV/atom, magnetization 0.00 μB per cell. Number 6: VASP energy -7.43 eV/atom, magnetization 4.64 μB per cell. Number 7: VASP energy -2.91 eV/atom, magnetization 0.00 μB per cell. Number 8: VASP energy -1.98 eV/atom, magnetization 0.00 μB per cell. Number 9: VASP energy -5.41 eV/atom, magnetization 2.50 μB per cell. Number 10: VASP energy -6.87 eV/atom, magnetization 0.00 μB per cell. Number 11: VASP energy -3.96 eV/atom, magnetization 0.00 μB per cell. Number 12: VASP energy -3.76 eV/atom, magnetization 4.56 μB per cell. Number 13: VASP energy -3.45 eV/atom, magnetization 2.99 μB per cell.